The following is a DFT calculation (GGA-PBEsol) of SnGeSN2 after structural relaxation.

N(E_F): 3.68 states/eV/cell
Energy relative to the elements, uncorrected: 3.75 eV/f.u.
Spin magnetization: 0.05 μB per atom
Mass density: 5822 kg/m3
Energy: -26.89 eV/cell

Cell: 3.8159 3.8159 4.9251 Å, 90.00 90.00 90.00°
Fractional coordinates of all 5 atoms:
Sn 0.0000 0.0000 0.0000
Ge 0.5000 0.5000 0.5000
S 0.5000 0.5000 0.0000
N 0.0000 0.5000 0.5000
N 0.5000 0.0000 0.5000

---

The following is a DFT calculation (GGA-PBEsol) of SnGeS2N after structural relaxation.

N(E_F): 2.18 states/eV/cell
Energy relative to the elements, uncorrected: 1.50 eV/f.u.
Spin magnetization: 0.19 μB per atom
Mass density: 5194 kg/m3
Energy: -24.99 eV/cell

Cell: 4.8406 4.8406 3.6768 Å, 90.00 90.00 90.00°
Fractional coordinates of all 5 atoms:
Sn 0.0000 0.0000 0.0000
Ge 0.5000 0.5000 0.5000
S 0.0000 0.5000 0.5000
S 0.5000 0.0000 0.5000
N 0.5000 0.5000 0.0000

---

The following is a DFT calculation (GGA-PBEsol) of GeSb3N after structural relaxation.

N(E_F): 3.21 states/eV/cell
Energy relative to the elements, uncorrected: 2.64 eV/f.u.
Spin magnetization: 0.00 μB per atom
Mass density: 7170 kg/m3
Energy: -24.50 eV/cell

Cell: 4.7126 4.7126 4.7126 Å, 90.00 90.00 90.00°
Fractional coordinates of all 5 atoms:
Ge 0.0000 0.0000 0.0000
Sb 0.0000 0.5000 0.5000
Sb 0.5000 0.0000 0.5000
Sb 0.5000 0.5000 0.0000
N 0.5000 0.5000 0.5000

---

The following is a DFT calculation (GGA-PBEsol) of Sc2GeN after structural relaxation.

N(E_F): 5.68 states/eV/cell
Energy relative to the elements, uncorrected: -3.94 eV/f.u.
Spin magnetization: 0.00 μB per atom
Mass density: 4270 kg/m3
Energy: -91.85 eV/cell

Cell: 3.1977 3.1977 23.2630 Å, 90.00 90.00 120.00°
Fractional coordinates of all 12 atoms:
Sc 0.0000 0.0000 0.1162
Sc 0.0000 0.0000 0.8838
Sc 0.3333 0.6667 0.5505
Sc 0.3333 0.6667 0.7828
Sc 0.6667 0.3333 0.2172
Sc 0.6667 0.3333 0.4495
Ge 0.0000 0.0000 0.0000
Ge 0.3333 0.6667 0.6667
Ge 0.6667 0.3333 0.3333
N 0.0000 0.0000 0.5000
N 0.3333 0.6667 0.1667
N 0.6667 0.3333 0.8333

---

The following is a DFT calculation (GGA-PBEsol) of Ge2SeN2 after structural relaxation.

N(E_F): 0.00 states/eV/cell
Energy relative to the elements, uncorrected: -0.76 eV/f.u.
Spin magnetization: 0.00 μB per atom
Mass density: 5039 kg/m3
Energy: -63.08 eV/cell

Cell: 6.2821 6.2821 5.1253 Å, 90.00 90.00 55.27°
Fractional coordinates of all 10 atoms:
Ge 0.0320 0.3335 0.0000
Ge 0.3335 0.0320 0.5000
Ge 0.6665 0.9680 0.0000
Ge 0.9680 0.6665 0.5000
Se 0.2923 0.7077 0.6683
Se 0.7077 0.2923 0.1683
N 0.0870 0.3464 0.6509
N 0.3464 0.0870 0.1509
N 0.6536 0.9130 0.6509
N 0.9130 0.6536 0.1509

---

The following is a DFT calculation (GGA-PBEsol) of GeSe2N after structural relaxation.

N(E_F): 6.39 states/eV/cell
Energy relative to the elements, uncorrected: 2.75 eV/f.u.
Spin magnetization: 0.00 μB per atom
Mass density: 4816 kg/m3
Energy: -55.24 eV/cell

Cell: 3.7498 3.7498 20.7752 Å, 90.00 90.00 120.00°
Fractional coordinates of all 12 atoms:
Ge 0.0000 0.0000 0.0000
Ge 0.3333 0.6667 0.6667
Ge 0.6667 0.3333 0.3333
Se 0.0000 0.0000 0.4153
Se 0.0000 0.0000 0.5847
Se 0.3333 0.6667 0.0819
Se 0.3333 0.6667 0.2514
Se 0.6667 0.3333 0.7486
Se 0.6667 0.3333 0.9181
N 0.0000 0.0000 0.5000
N 0.3333 0.6667 0.1667
N 0.6667 0.3333 0.8333